PmTm7Sc2 | Alexandria | PBE | relaxed; crystal system = triclinic; space-group type = P-1 (2); DFT formation energy = 215 meV/atom; excess energy over the best structure of this formula in the dataset = 0 meV/atom
1.0
5.074 0.000 0.000
-1.028 7.944 0.000
-1.606 -4.001 7.612
Pm Tm Sc
1 7 2
direct
0.000 0.000 0.000
0.000 0.500 0.500
0.077 0.209 0.695
0.295 0.657 0.002
0.489 0.118 0.372
0.511 0.882 0.628
0.705 0.343 0.998
0.923 0.791 0.305
0.370 0.480 0.272
0.630 0.520 0.728